(1)
The following is a DFT calculation (PBE) of a geometry-optimized ZrOsNO2 structure.

Cell lengths 3.9428, 3.9428, 3.8260 Å; angles 90.00, 90.00, 90.00 degrees
Space group P4/mmm (No. 123)
Asymmetric unit:
Zr 0.0000 0.0000 0.0000 (multiplicity 1)
Os 0.5000 0.5000 0.5000 (multiplicity 1)
N 0.5000 0.5000 0.0000 (multiplicity 1)
O 0.0000 0.5000 0.5000 (multiplicity 2)

* ΔE_f (raw): -0.51 eV per atom
* magnetic moment: 0.000 μB per formula unit


(2)
The following is a DFT calculation (PBE) of a geometry-optimized ZrOsNO2 structure.

Cell lengths 4.0342, 4.0342, 4.4553 Å; angles 90.00, 90.00, 90.00 degrees
Space group P4/mmm (No. 123)
Asymmetric unit:
Zr 0.0000 0.0000 0.0000 (multiplicity 1)
Os 0.5000 0.5000 0.5000 (multiplicity 1)
N 0.0000 0.0000 0.5000 (multiplicity 1)
O 0.0000 0.5000 0.0000 (multiplicity 2)

* ΔE_f (raw): -0.01 eV per atom
* magnetic moment: 4.383 μB per formula unit


(3)
The following is a DFT calculation (PBE) of a geometry-optimized Pa3PN6O2 structure.

Cell lengths 10.8243, 6.6709, 4.7555 Å; angles 90.00, 90.57, 90.00 degrees
Space group C2/m (No. 12)
Asymmetric unit:
Pa 0.0000 0.0000 0.0000 (multiplicity 2)
Pa 0.2500 0.2500 0.5000 (multiplicity 4)
P 0.0000 0.5000 0.5000 (multiplicity 2)
N 0.0503 0.2814 0.7118 (multiplicity 8)
N 0.1629 0.5000 0.3167 (multiplicity 4)
O 0.1765 0.0000 0.2186 (multiplicity 4)

* ΔE_f (raw): -1.06 eV per atom
* magnetic moment: 1.943 μB per formula unit


(4)
The following is a DFT calculation (PBE) of a geometry-optimized PPbNO2 structure.

Cell lengths 4.0916, 4.0916, 5.9756 Å; angles 90.00, 90.00, 90.00 degrees
Space group P4/mmm (No. 123)
Asymmetric unit:
P 0.0000 0.0000 0.0000 (multiplicity 1)
Pb 0.0000 0.0000 0.5000 (multiplicity 1)
N 0.5000 0.5000 0.0000 (multiplicity 1)
O 0.0000 0.5000 0.5000 (multiplicity 2)

* ΔE_f (raw): 1.35 eV per atom
* magnetic moment: 0.026 μB per formula unit


(5)
The following is a DFT calculation (PBE) of a geometry-optimized P2PbNO structure.

Cell lengths 5.3422, 5.3422, 4.1010 Å; angles 90.00, 90.00, 90.00 degrees
Space group P4/mmm (No. 123)
Asymmetric unit:
P 0.0000 0.5000 0.0000 (multiplicity 2)
Pb 0.0000 0.0000 0.0000 (multiplicity 1)
N 0.5000 0.5000 0.5000 (multiplicity 1)
O 0.0000 0.0000 0.5000 (multiplicity 1)

* ΔE_f (raw): 2.11 eV per atom
* magnetic moment: 0.000 μB per formula unit


(6)
The following is a DFT calculation (PBE) of a geometry-optimized P2PbNO structure.

Cell lengths 3.6909, 3.6909, 6.2961 Å; angles 90.00, 90.00, 90.00 degrees
Space group P4/mmm (No. 123)
Asymmetric unit:
P 0.0000 0.5000 0.0000 (multiplicity 2)
Pb 0.0000 0.0000 0.5000 (multiplicity 1)
N 0.5000 0.5000 0.0000 (multiplicity 1)
O 0.5000 0.5000 0.5000 (multiplicity 1)

* ΔE_f (raw): 0.64 eV per atom
* magnetic moment: 0.095 μB per formula unit


(7)
The following is a DFT calculation (PBE) of a geometry-optimized PPbNO2 structure.

Cell lengths 4.1557, 4.1557, 4.4638 Å; angles 90.00, 90.00, 90.00 degrees
Space group P4/mmm (No. 123)
Asymmetric unit:
P 0.0000 0.0000 0.0000 (multiplicity 1)
Pb 0.5000 0.5000 0.5000 (multiplicity 1)
N 0.5000 0.5000 0.0000 (multiplicity 1)
O 0.0000 0.5000 0.5000 (multiplicity 2)

* ΔE_f (raw): 1.10 eV per atom
* magnetic moment: 0.002 μB per formula unit


(8)
The following is a DFT calculation (PBE) of a geometry-optimized PPbNO2 structure.

Cell lengths 3.8742, 3.8742, 3.5490 Å; angles 90.00, 90.00, 90.00 degrees
Space group P4/mmm (No. 123)
Asymmetric unit:
P 0.0000 0.0000 0.0000 (multiplicity 1)
Pb 0.5000 0.5000 0.5000 (multiplicity 1)
N 0.0000 0.0000 0.5000 (multiplicity 1)
O 0.0000 0.5000 0.0000 (multiplicity 2)

* ΔE_f (raw): -0.41 eV per atom
* magnetic moment: 0.000 μB per formula unit


(9)
The following is a DFT calculation (PBE) of a geometry-optimized PPbNO2 structure.

Cell lengths 4.3749, 4.3749, 3.4569 Å; angles 90.00, 90.00, 90.00 degrees
Space group P4/mmm (No. 123)
Asymmetric unit:
P 0.0000 0.0000 0.0000 (multiplicity 1)
Pb 0.5000 0.5000 0.0000 (multiplicity 1)
N 0.0000 0.0000 0.5000 (multiplicity 1)
O 0.0000 0.5000 0.5000 (multiplicity 2)

* ΔE_f (raw): 0.67 eV per atom
* magnetic moment: 0.000 μB per formula unit


(10)
The following is a DFT calculation (PBE) of a geometry-optimized PPtNO2 structure.

Cell lengths 3.1821, 3.1821, 5.4543 Å; angles 90.00, 90.00, 90.00 degrees
Space group P4/mmm (No. 123)
Asymmetric unit:
P 0.0000 0.0000 0.0000 (multiplicity 1)
Pt 0.5000 0.5000 0.5000 (multiplicity 1)
N 0.0000 0.0000 0.5000 (multiplicity 1)
O 0.0000 0.5000 0.0000 (multiplicity 2)

* ΔE_f (raw): 0.24 eV per atom
* magnetic moment: 0.000 μB per formula unit


(11)
The following is a DFT calculation (PBE) of a geometry-optimized P2PtNO structure.

Cell lengths 4.0921, 4.0921, 3.4581 Å; angles 90.00, 90.00, 90.00 degrees
Space group P4/mmm (No. 123)
Asymmetric unit:
P 0.0000 0.5000 0.0000 (multiplicity 2)
Pt 0.0000 0.0000 0.5000 (multiplicity 1)
N 0.5000 0.5000 0.0000 (multiplicity 1)
O 0.5000 0.5000 0.5000 (multiplicity 1)

* ΔE_f (raw): 0.83 eV per atom
* magnetic moment: 0.000 μB per formula unit


(12)
The following is a DFT calculation (PBE) of a geometry-optimized PPtNO2 structure.

Cell lengths 3.6646, 3.6646, 3.8717 Å; angles 90.00, 90.00, 90.00 degrees
Space group P4/mmm (No. 123)
Asymmetric unit:
P 0.0000 0.0000 0.0000 (multiplicity 1)
Pt 0.5000 0.5000 0.0000 (multiplicity 1)
N 0.0000 0.0000 0.5000 (multiplicity 1)
O 0.0000 0.5000 0.5000 (multiplicity 2)

* ΔE_f (raw): 1.19 eV per atom
* magnetic moment: 0.423 μB per formula unit